Record 1
Rb2SrCr3H12 | PBE | optimized geometry

```
Rb2SrCr3H12
1.0
6.8726 0.0730 0.0517
3.4575 5.9400 0.0517
3.4575 2.0125 5.5889
H Rb Cr Sr
12 2 3 1
Direct
0.5699 0.1169 0.1169
0.1061 0.7227 0.7227
0.7227 0.1061 0.7227
0.1169 0.5699 0.1169
0.1169 0.1169 0.5699
0.8831 0.4301 0.8831
0.8831 0.8831 0.4301
0.2773 0.8939 0.2773
0.4301 0.8831 0.8831
0.8939 0.2773 0.2773
0.7227 0.7227 0.1061
0.2773 0.2773 0.8939
0.6110 0.6110 0.6110
0.3890 0.3890 0.3890
0.0000 0.0000 0.5000
0.5000 0.0000 0.0000
0.0000 0.5000 0.0000
0.0000 0.0000 0.0000
```

Results
raw total energy = -4.15 eV per atom
N(E_F) = 2.0 states/eV/f.u.

Record 2
Zn2InSi | PBE | optimized geometry

```
Zn2InSi
1.0
4.2498 -0.0387 0.0345
3.0808 2.9276 0.0345
1.1368 0.4480 6.1553
In Zn Si
1 2 1
Direct
0.5012 0.5012 0.5034
0.7429 0.7429 0.7997
0.9983 0.9983 0.0102
0.2576 0.2576 0.1867
```

Results
formation energy without anion corrections = 0.228 eV per atom
N(E_F) = 1.3 states/eV/f.u.